Entry 1:
A plane-wave DFT calculation with PBE was carried out for a relaxed structure of SbAsP2.

Unit cell a=3.3941 b=5.8655 c=10.6247 alpha=90.00 beta=90.00 gamma=90.00
Positions (direct):
Sb 0.0000 0.0000 0.0000
Sb 0.5000 0.5000 0.5000
As 0.0000 0.5000 0.0017
As 0.5000 0.0000 0.5017
P 0.0000 0.0000 0.6591
P 0.0000 0.5000 0.3168
P 0.5000 0.0000 0.8168
P 0.5000 0.5000 0.1591

Calculated total energy in eV/atom: -4.503
Raw formation energy in eV per formula unit: 1.6
Polymorph energy (0 for the lowest one) in meV/atom: 309

Entry 2:
A plane-wave DFT calculation with PBE was carried out for a relaxed structure of YSc2Ni.

Unit cell a=4.2109 b=4.2109 c=4.9096 alpha=90.00 beta=90.00 gamma=90.00
Positions (direct):
Y 0.0000 0.0000 0.0000
Sc 0.0000 0.5000 0.5000
Sc 0.5000 0.0000 0.5000
Ni 0.5000 0.5000 0.0000

DFT formation energy in eV/f.u.: 0.1
Calculated total energy in eV/atom: -6.203
Polymorph energy (0 for the lowest one) in meV/atom: 279

Entry 3:
A plane-wave DFT calculation with PBE was carried out for a relaxed structure of HfCu2Hg2.

Unit cell a=3.3723 b=3.3723 c=16.6013 alpha=90.00 beta=90.00 gamma=90.00
Positions (direct):
Hf 0.0000 0.0000 0.0000
Hf 0.5000 0.5000 0.5000
Cu 0.0000 0.5000 0.2500
Cu 0.0000 0.5000 0.7500
Cu 0.5000 0.0000 0.2500
Cu 0.5000 0.0000 0.7500
Hg 0.0000 0.0000 0.3839
Hg 0.0000 0.0000 0.6161
Hg 0.5000 0.5000 0.1161
Hg 0.5000 0.5000 0.8839

DFT formation energy in eV/f.u.: 1.0
Calculated total energy in eV/atom: -3.543
Polymorph energy (0 for the lowest one) in meV/atom: 56

Entry 4:
A plane-wave DFT calculation with PBE was carried out for a relaxed structure of Fe2CoP.

Unit cell a=3.4657 b=3.4657 c=6.7999 alpha=90.00 beta=90.00 gamma=90.00
Positions (direct):
Fe 0.0000 0.0000 0.0000
Fe 0.0000 0.5000 0.2500
Fe 0.5000 0.0000 0.7500
Fe 0.5000 0.5000 0.5000
Co 0.0000 0.0000 0.5000
Co 0.5000 0.5000 0.0000
P 0.0000 0.5000 0.7500
P 0.5000 0.0000 0.2500

DFT formation energy in eV/f.u.: -0.5
Calculated total energy in eV/atom: -7.489

Which value of calculated total energy does entry 4 give?
-7.489 eV/atom

What is the calculated total energy in the fourth record?
-7.489 eV/atom

Among the records above, which one has the lowest calculated total energy?
Fe2CoP